The following is a DFT calculation (GGA+U) of an optimized crystal structure of Tl2MoO.

Output
- Energy above the most stable polymorph in this dataset: 0 meV per atom
- DFT total energy: -31.12 eV for the cell shown
- Magnetization: 4.4 μB/f.u.

Cell lengths 7.3914, 7.3914, 6.1891 Å; angles 53.33, 53.33, 90.00 degrees
Each line ends with the local moment (μB).
Element x y z (fractional)
Tl 0.5569 0.1250 0.2500  -0.02
Tl 0.8750 0.8069 0.7500  -0.02
Mo 0.0000 0.0000 0.0000  3.86
Mo 0.7500 0.2500 0.5000  3.86
O 0.5000 0.5000 0.0000  0.05
O 0.2500 0.7500 0.5000  0.05
Tl 0.1931 0.6250 0.2500  -0.03
Tl 0.3750 0.4431 0.7500  -0.02